# LaTb5Pm2Sc (PBE, optimized geometry)
# ΔE_f   0.165 eV per atom
# Calculated volume   32.50 A^3/atom
# E_tot   -4.714 eV per atom
# Density   7.20 g/cm³
# DOS at the Fermi energy   13.228 states/eV/f.u.
data_LaTb5Pm2Sc
_symmetry_space_group_name_H-M 'C m c 21'
_symmetry_Int_Tables_number 36
_cell_length_a 5.6353
_cell_length_b 19.7866
_cell_length_c 10.4936
_cell_angle_alpha 90.00
_cell_angle_beta 90.00
_cell_angle_gamma 90.00
loop_
_symmetry_equiv_pos_as_xyz
'x,y,z'
'-x,-y,z+1/2'
'-x,y,z'
'x,-y,z+1/2'
'x+1/2,y+1/2,z'
'-x+1/2,-y+1/2,z+1/2'
'-x+1/2,y+1/2,z'
'x+1/2,-y+1/2,z+1/2'
loop_
_atom_site_label
_atom_site_fract_x
_atom_site_fract_y
_atom_site_fract_z
La1 0.0000 0.0850 0.0000
Tb1 0.0000 0.0165 0.2824
Tb2 0.0000 0.1259 0.5606
Tb3 0.0000 0.2047 0.2467
Tb4 0.0000 0.2225 0.8649
Tb5 0.0000 0.4826 0.5629
Pm1 0.0000 0.3854 0.2747
Pm2 0.0000 0.3873 0.8567
Sc1 0.0000 0.3026 0.5553